(1)
Entry from the Alexandria database: crystalline Pu2AsS at its relaxed geometry (PBE-GGA).

Values from the calculation:
The value obtained for the energy above the most stable polymorph in this dataset is 246 meV per atom. Its formation energy without anion corrections is -4.6 eV/f.u.

Cell lengths 6.9837, 6.9837, 6.9837 Å; angles 90.00, 90.00, 90.00 degrees
Space group Fm-3m (No. 225)
Unique sites:
Pu1 0.2500 0.2500 0.2500 [8 per cell]
As1 0.0000 0.0000 0.0000 [4 per cell]
S1 0.0000 0.0000 0.5000 [4 per cell]

=====

(2)
Entry from the Alexandria database: crystalline CaBrO2 at its relaxed geometry (PBE-GGA).

Values from the calculation:
The value obtained for the energy above the most stable polymorph in this dataset is 339 meV per atom. Its formation energy without anion corrections is -4.5 eV/f.u.

Cell lengths 6.7401, 3.5259, 5.9398 Å; angles 90.00, 118.65, 90.00 degrees
Space group C2/m (No. 12)
Unique sites:
Ca1 0.0000 0.0000 0.0000 [2 per cell]
Br1 0.0000 0.0000 0.5000 [2 per cell]
O1 0.0945 0.5000 0.7722 [4 per cell]

=====

(3)
Entry from the Alexandria database: crystalline LiYNi3 at its relaxed geometry (PBE-GGA).

Values from the calculation:
The value obtained for the energy above the most stable polymorph in this dataset is 0 meV per atom. The formation enthalpy at 0 K comes out at 2.054 kcal/mol of atoms.

Cell lengths 4.1495, 4.1495, 4.1495 Å; angles 90.00, 90.00, 90.00 degrees
Space group Pm-3m (No. 221)
Unique sites:
Li1 0.0000 0.0000 0.0000 [1 per cell]
Y1 0.5000 0.5000 0.5000 [1 per cell]
Ni1 0.0000 0.0000 0.5000 [3 per cell]

=====

(4)
Entry from the Alexandria database: crystalline KMgTl at its relaxed geometry (PBE-GGA).

Values from the calculation:
The value obtained for the energy above the most stable polymorph in this dataset is 261 meV per atom. The formation enthalpy at 0 K comes out at 4.782 kcal/mol of atoms.

Cell lengths 7.7280, 7.7280, 7.7280 Å; angles 90.00, 90.00, 90.00 degrees
Space group F-43m (No. 216)
Unique sites:
K1 0.0000 0.0000 0.0000 [4 per cell]
Mg1 0.2500 0.2500 0.2500 [4 per cell]
Tl1 0.0000 0.0000 0.5000 [4 per cell]

=====

(5)
Entry from the Alexandria database: crystalline Pm2ZnH12Rh3 at its relaxed geometry (PBE-GGA).

Values from the calculation:
The value obtained for the total energy is -4.29 eV per atom.

Cell lengths 6.2864, 6.2864, 14.0142 Å; angles 90.00, 90.00, 120.00 degrees
Space group R-3m (No. 166, hexagonal axes)
Unique sites:
Pm1 0.0000 0.0000 0.1204 [6 per cell]
Zn1 0.0000 0.0000 0.5000 [3 per cell]
H1 0.0102 0.5051 0.1195 [18 per cell]
H2 0.0227 0.5113 0.3409 [18 per cell]
Rh1 0.0000 0.5000 0.0000 [9 per cell]

=====

(6)
Entry from the Alexandria database: crystalline AlHgSe at its relaxed geometry (PBE-GGA).

Values from the calculation:
The value obtained for the energy above the most stable polymorph in this dataset is 416 meV per atom. Its formation energy without anion corrections is 0.0 eV/f.u.

Cell lengths 6.6173, 6.6173, 6.6173 Å; angles 90.00, 90.00, 90.00 degrees
Space group F-43m (No. 216)
Unique sites:
Al1 0.0000 0.0000 0.0000 [4 per cell]
Hg1 0.2500 0.2500 0.2500 [4 per cell]
Se1 0.2500 0.2500 0.7500 [4 per cell]

=====

Copy entry 3 word for word.
Entry from the Alexandria database: crystalline LiYNi3 at its relaxed geometry (PBE-GGA).

Values from the calculation:
The value obtained for the energy above the most stable polymorph in this dataset is 0 meV per atom. The formation enthalpy at 0 K comes out at 2.054 kcal/mol of atoms.

Cell lengths 4.1495, 4.1495, 4.1495 Å; angles 90.00, 90.00, 90.00 degrees
Space group Pm-3m (No. 221)
Unique sites:
Li1 0.0000 0.0000 0.0000 [1 per cell]
Y1 0.5000 0.5000 0.5000 [1 per cell]
Ni1 0.0000 0.0000 0.5000 [3 per cell]